Entry 1:
Tm2Mo3P4 | GGA-PBE | relaxed

Unit cell a=6.6524 b=6.7183 c=6.9850 alpha=90.00 beta=112.09 gamma=90.00
Sites, in units of the cell vectors:
1 Mo 0.0000 0.5000 0.0000
2 Mo 0.2477 0.1370 0.2440
3 Mo 0.7523 0.6370 0.2560
4 Mo 0.0000 0.0000 0.5000
5 Mo 0.2477 0.3630 0.7440
6 Mo 0.7523 0.8630 0.7560
7 P 0.9792 0.8530 0.1324
8 P 0.4056 0.4421 0.1528
9 P 0.5944 0.9421 0.3472
10 P 0.0208 0.3530 0.3676
11 P 0.9792 0.6470 0.6324
12 P 0.4056 0.0579 0.6528
13 P 0.5944 0.5579 0.8472
14 P 0.0208 0.1470 0.8676
15 Tm 0.6931 0.1777 0.0571
16 Tm 0.3069 0.6777 0.4429
17 Tm 0.6931 0.3223 0.5571
18 Tm 0.3069 0.8223 0.9429

Results
Density (Mg/m³): 8.606
Crystal system: monoclinic
VASP energy (hartree per atom): -0.2899


Entry 2:
UGaNi | GGA-PBE | relaxed

Unit cell a=6.9362 b=6.9362 c=4.3950 alpha=90.00 beta=90.00 gamma=120.00
Site moments in Bohr magnetons follow the coordinates.
Sites, in units of the cell vectors:
1 Ga 0.6667 0.3333 0.0000  0.01
2 Ga 0.3333 0.6667 0.0000  0.01
3 Ga 0.0000 0.0000 0.5000  -0.03
4 Ni 0.6501 0.0000 0.5000  -0.05
5 Ni 0.3499 0.3499 0.5000  -0.05
6 Ni 0.0000 0.6501 0.5000  -0.04
7 U 0.2261 0.0000 0.0000  1.19
8 U 0.0000 0.2261 0.0000  1.14
9 U 0.7739 0.7739 0.0000  1.14

Results
Density (Mg/m³): 9.969
Crystal system: hexagonal
VASP energy (hartree per atom): -0.2234


Entry 3:
MgTaTlFe | GGA-PBE | relaxed

Unit cell a=4.5340 b=4.5340 c=4.5340 alpha=60.00 beta=60.00 gamma=60.00
Sites, in units of the cell vectors:
1 Fe 0.2500 0.2500 0.2500
2 Mg 0.7500 0.7500 0.7500
3 Ta 0.0000 0.0000 0.0000
4 Tl 0.5000 0.5000 0.5000

Results
Density (Mg/m³): 11.728
Excess energy over the best structure of this formula in the dataset (meV/atom): 0
Crystal system: cubic
VASP energy (hartree per atom): -0.2059


Entry 4:
BeFeAsPt | GGA-PBE | relaxed

Unit cell a=4.2240 b=4.2240 c=4.2240 alpha=60.00 beta=60.00 gamma=60.00
Sites, in units of the cell vectors:
1 As 0.0000 0.0000 0.0000
2 Be 0.2500 0.2500 0.2500
3 Fe 0.7500 0.7500 0.7500
4 Pt 0.5000 0.5000 0.5000

Results
Density (Mg/m³): 10.434
Excess energy over the best structure of this formula in the dataset (meV/atom): 116
Crystal system: cubic
VASP energy (hartree per atom): -0.2072


Entry 5:
NbAlNi | GGA-PBE | relaxed

Unit cell a=6.2703 b=3.7998 c=7.3424 alpha=90.00 beta=90.00 gamma=90.00
Site moments in Bohr magnetons follow the coordinates.
Sites, in units of the cell vectors:
1 Al 0.8481 0.2500 0.0659  0.00
2 Al 0.3481 0.2500 0.4341  0.00
3 Al 0.6519 0.7500 0.5659  0.00
4 Al 0.1519 0.7500 0.9341  0.00
5 Nb 0.5194 0.7500 0.1741  0.15
6 Nb 0.0194 0.7500 0.3259  0.17
7 Nb 0.9806 0.2500 0.6741  0.17
8 Nb 0.4806 0.2500 0.8259  0.15
9 Ni 0.2385 0.2500 0.1172  0.10
10 Ni 0.7385 0.2500 0.3828  0.12
11 Ni 0.2615 0.7500 0.6172  0.12
12 Ni 0.7615 0.7500 0.8828  0.10

Results
Density (Mg/m³): 6.780
Crystal system: orthorhombic
VASP energy (hartree per atom): -0.2509


Entry 6:
ErBiPO | GGA-PBE | relaxed

Unit cell a=3.8802 b=8.2266 c=5.8913 alpha=90.00 beta=90.00 gamma=90.00
Sites, in units of the cell vectors:
1 Bi 0.0000 0.0921 0.4392
2 Bi 0.0000 0.9079 0.9392
3 Er 0.5000 0.6565 0.4372
4 Er 0.5000 0.3435 0.9372
5 O 0.0000 0.7513 0.4402
6 O 0.0000 0.2487 0.9402
7 P 0.5000 0.3190 0.4374
8 P 0.5000 0.6810 0.9374

Results
Density (Mg/m³): 7.474
Excess energy over the best structure of this formula in the dataset (meV/atom): 0
Crystal system: orthorhombic
VASP energy (hartree per atom): -0.2217


Entry 7:
SmDyCd2Au4 | GGA-PBE | relaxed

Unit cell a=4.9680 b=4.9680 c=7.0121 alpha=90.00 beta=90.00 gamma=90.00
Sites, in units of the cell vectors:
1 Au 0.5000 0.0000 0.2432
2 Au 0.0000 0.5000 0.2432
3 Au 0.5000 0.0000 0.7568
4 Au 0.0000 0.5000 0.7568
5 Cd 0.5000 0.5000 0.0000
6 Cd 0.0000 0.0000 0.5000
7 Dy 0.0000 0.0000 0.0000
8 Sm 0.5000 0.5000 0.5000

Results
Density (Mg/m³): 12.719
Crystal system: tetragonal
VASP energy (hartree per atom): -0.1357


Entry 8:
TbScTl | GGA-PBE | relaxed

Unit cell a=5.0213 b=5.0213 c=5.0213 alpha=60.00 beta=60.00 gamma=60.00
Sites, in units of the cell vectors:
1 Sc 0.2500 0.2500 0.2500
2 Tb 0.7500 0.7500 0.7500
3 Tl 0.0000 0.0000 0.0000

Results
Density (Mg/m³): 7.573
Excess energy over the best structure of this formula in the dataset (meV/atom): 0
Crystal system: cubic
VASP energy (hartree per atom): -0.1636